La4TbCd: optimized geometry, GGA-PBE.

a b c (Å): 5.790 21.070 6.609
angles (deg): 90.00 90.00 90.00
Space group Cmc2_1 (No. 36)
One atom of each set of equivalent atoms:
La  0.000  0.044  0.000 x4
La  0.000  0.190  0.855 x4
La  0.000  0.257  0.259 x4
La  0.000  0.442  0.186 x4
Tb  0.000  0.366  0.699 x4
Cd  0.000  0.110  0.444 x4

Properties
V = 33.60 A^3/atom
Distance to the lowest polymorph of the same formula = 91 meV per atom